Material: MgPtSeBr2
Method: DFT, PBE
State: relaxed

Lattice parameters (Å, degrees): 5.097 5.097 5.115 90.00 90.00 90.00
Fractional positions:
Br 0.000 0.500 0.000
Br 0.500 0.000 0.000
Mg 0.500 0.500 0.500
Pt 0.000 0.000 0.000
Se 0.000 0.000 0.500

Energy relative to the lowest polymorph listed for this composition = 0.000 eV per atom

Material: Th2BeCu
Method: DFT, PBE
State: relaxed

Lattice parameters (Å, degrees): 3.491 3.491 7.262 90.00 90.00 90.00
Fractional positions:
Th 0.000 0.000 0.243
Th 0.000 0.000 0.757
Cu 0.500 0.500 0.500
Be 0.500 0.500 0.000

Energy relative to the elements = 0.07 eV/atom
Energy relative to the lowest polymorph listed for this composition = 0.000 eV per atom

Material: Cs2BaTbI6
Method: DFT, PBE
State: relaxed

Lattice parameters (Å, degrees): 9.116 9.116 9.125 120.00 119.97 89.99
Each line ends with the local moment (μB).
Fractional positions:
I 0.228 0.754 0.981  0.00
I 0.753 0.229 0.981  0.00
I 0.230 0.231 0.461  0.00
I 0.753 0.753 0.980  0.00
I 0.228 0.229 0.981  0.00
I 0.757 0.757 0.513  0.00
Tb 0.993 0.994 0.986  0.23
Cs 0.782 0.281 0.563  0.00
Cs 0.281 0.782 0.563  0.00
Ba 0.494 0.495 0.988  0.04

E = -3.19 eV/atom

Material: Na2YCl5
Method: DFT, PBE
State: relaxed

Lattice parameters (Å, degrees): 5.321 7.420 13.648 90.00 90.00 111.01
Fractional positions:
Cl 0.303 0.605 0.405
Cl 0.719 0.439 0.250
Cl 0.045 0.090 0.379
Cl 0.955 0.910 0.879
Cl 0.045 0.090 0.121
Cl 0.303 0.605 0.095
Cl 0.697 0.395 0.595
Cl 0.955 0.910 0.621
Cl 0.281 0.561 0.750
Cl 0.697 0.395 0.905
Y 0.818 0.636 0.750
Y 0.182 0.364 0.250
Na 0.855 0.709 0.444
Na 0.145 0.291 0.944
Na 0.855 0.709 0.056
Na 0.145 0.291 0.556

Energy relative to the lowest polymorph listed for this composition = 0.000 eV per atom

Material: TmPaCoS4
Method: DFT, PBE
State: relaxed

Lattice parameters (Å, degrees): 6.292 5.679 7.563 90.00 105.44 90.00
Fractional positions:
S 0.429 0.750 0.123
S 0.430 0.750 0.619
S 0.014 0.507 0.760
S 0.014 0.993 0.760
S 0.571 0.250 0.877
S 0.986 0.007 0.240
S 0.570 0.250 0.381
S 0.986 0.493 0.240
Pa 0.754 0.750 0.443
Pa 0.246 0.250 0.557
Co 0.759 0.250 0.659
Co 0.241 0.750 0.341
Tm 0.737 0.750 0.938
Tm 0.263 0.250 0.062

E = -6.77 eV/atom

Material: Al2C
Method: DFT, PBE
State: relaxed

Lattice parameters (Å, degrees): 5.511 5.511 4.576 90.00 90.00 120.00
Fractional positions:
C 0.000 0.000 0.500
C 0.667 0.333 0.000
C 0.333 0.667 0.000
Al 0.000 0.625 0.500
Al 0.375 0.375 0.500
Al 0.625 0.000 0.500
Al 0.292 0.000 0.000
Al 0.708 0.708 0.000
Al 0.000 0.292 0.000

Energy relative to the elements = 0.68 eV/atom

Material: RbNaWN3
Method: DFT, PBE
State: relaxed

Lattice parameters (Å, degrees): 5.629 6.240 6.610 118.17 90.00 90.00
Each line ends with the local moment (μB).
Fractional positions:
N 0.250 0.207 0.415  0.23
N 0.500 0.788 0.000  0.28
N 0.000 0.788 0.000  0.28
N 0.500 0.212 0.000  0.28
N 0.000 0.212 0.000  0.28
N 0.750 0.793 0.585  0.23
Na 0.250 0.424 0.848  0.00
Na 0.750 0.576 0.152  0.00
W 0.750 0.948 0.895  -0.11
W 0.250 0.052 0.105  -0.11
Rb 0.750 0.272 0.545  0.00
Rb 0.250 0.728 0.455  0.00

E = -6.92 eV/atom

Material: AcYIn6
Method: DFT, PBE
State: relaxed

Lattice parameters (Å, degrees): 4.798 4.798 9.539 90.00 90.00 90.00
Fractional positions:
In 0.000 0.500 0.263
In 0.500 0.500 0.000
In 0.500 0.000 0.263
In 0.500 0.000 0.737
In 0.000 0.500 0.737
In 0.500 0.500 0.500
Y 0.000 0.000 0.500
Ac 0.000 0.000 0.000

Energy relative to the elements = -0.41 eV/atom